3
Lattice="-1.178 -3.726 0.606 3.568 -1.306 -1.096 0.682 2.851 5.957" Properties=species:S:1:pos:R:3 comment="AcTlHg PBE optimized geometry" formation_energy_mev_per_atom=-286 vol_a3_per_atom=31.388 e_tot_ev_per_atom=-2.54 dos_at_fermi_per_ev_cell=2.955 pbc="T T T"
Hg 2.856 -2.219 4.810
Tl 1.116 0.199 3.395
Ac 1.609 -2.442 1.015